! La2Zn12Ga5 GGA-PBE optimized geometry; values from VASP
! - total magnetic moment (μB per formula unit) = 0.0
! - SG = R-3m
! - energy of formation from the pure elements (kJ/mol of formula units) = -415
! - calculated density (Mg/m³) = 6.94
! - VASP energy (eV per atom) = -2.346
&SYSTEM
  ibrav = 0, nat = 19, ntyp = 3
/
ATOMIC_SPECIES
La 138.91 La.upf
Zn 65.41 Zn.upf
Ga 69.72 Ga.upf
CELL_PARAMETERS angstrom
-4.335 -3.866 3.883
-2.713 -3.471 -5.422
4.365 -5.430 0.531
ATOMIC_POSITIONS crystal
La 0.669 0.669 0.669
La 0.331 0.331 0.331
Zn 0.310 0.690 0.000
Zn 0.690 0.000 0.310
Zn 0.000 0.310 0.690
Zn 0.690 0.310 0.000
Zn 0.310 0.000 0.690
Zn 0.000 0.690 0.310
Zn 0.351 0.351 0.827
Zn 0.351 0.827 0.351
Zn 0.827 0.351 0.351
Zn 0.649 0.173 0.649
Zn 0.649 0.649 0.173
Zn 0.173 0.649 0.649
Ga 0.000 0.000 0.500
Ga 0.000 0.500 0.000
Ga 0.500 0.000 0.000
Ga 0.903 0.903 0.903
Ga 0.097 0.097 0.097


! RbMgMnPt2 GGA-PBE optimized geometry; values from VASP
! - total magnetic moment (μB per formula unit) = 0.0
! - SG = P4/mmm
! - energy of formation from the pure elements (kJ/mol of formula units) = 432
! - calculated density (Mg/m³) = 8.04
! - VASP energy (eV per atom) = -3.866
&SYSTEM
  ibrav = 0, nat = 5, ntyp = 4
/
ATOMIC_SPECIES
Mg 24.30 Mg.upf
Mn 54.94 Mn.upf
Rb 85.47 Rb.upf
Pt 195.08 Pt.upf
CELL_PARAMETERS angstrom
4.735 0.000 0.000
0.000 5.113 0.000
0.000 0.000 4.735
ATOMIC_POSITIONS crystal
Mg 0.500 0.500 0.500
Mn 0.000 0.000 0.000
Rb 0.000 0.500 0.000
Pt 0.000 0.000 0.500
Pt 0.500 0.000 0.000


! LaSN3 GGA-PBE optimized geometry; values from VASP
! - total magnetic moment (μB per formula unit) = 3.4
! - SG = Pm-3m
! - calculated density (Mg/m³) = 4.05
! - uncorrected formation energy (eV/atom) = 2.08
! - VASP energy (eV per atom) = -4.726
&SYSTEM
  ibrav = 0, nat = 5, ntyp = 3
/
ATOMIC_SPECIES
S 32.06 S.upf
N 14.01 N.upf
La 138.91 La.upf
CELL_PARAMETERS angstrom
-0.917 -3.316 2.800
3.689 0.912 2.289
-2.286 2.801 2.570
ATOMIC_POSITIONS crystal
S 0.500 0.500 0.500
N 0.000 0.500 0.000
N 0.000 0.000 0.500
N 0.500 0.000 0.000
La 0.000 0.000 0.000


! Pm2ScCd5 GGA-PBE optimized geometry; values from VASP
! - total magnetic moment (μB per formula unit) = 0.3
! - SG = I4/mmm
! - energy of formation from the pure elements (kJ/mol of formula units) = -211
! - calculated density (Mg/m³) = 7.57
! - VASP energy (eV per atom) = -2.824
&SYSTEM
  ibrav = 0, nat = 8, ntyp = 3
/
ATOMIC_SPECIES
Pm 145.00 Pm.upf
Sc 44.96 Sc.upf
Cd 112.41 Cd.upf
CELL_PARAMETERS angstrom
5.069 0.000 0.000
0.000 5.069 0.000
-2.534 -2.534 7.658
ATOMIC_POSITIONS crystal
Pm 0.740 0.740 0.480
Pm 0.260 0.260 0.520
Sc 0.000 0.000 0.000
Cd 0.500 0.500 0.000
Cd 0.889 0.389 0.778
Cd 0.389 0.889 0.778
Cd 0.111 0.611 0.222
Cd 0.611 0.111 0.222


Q: Number 4 is which compound?
A: Pm2ScCd5